No. 1
A relaxed BaNa2Tl10 crystal, computed with PBE-GGA.

The structure belongs to space group Fmmm (No. 69); the cell edges are 6.462, 15.469 and 16.235 Å and the angles 90.00°, 90.00° and 90.00°. The inequivalent atoms are Ba at (0.000, 0.000, 0.000), Na at (0.250, 0.000, 0.250), Tl at (0.000, 0.106, 0.391), Tl at (0.000, 0.177, 0.178) and Tl at (0.250, 0.250, 0.000).

For the formation energy, the calculation gives -0.10 eV per atom. The crystal system is orthorhombic. As for the density of states at the Fermi level: 24.455 states/eV per cell.

=====

No. 2
A relaxed KAcCu2Cl8 crystal, computed with PBE-GGA.

The structure belongs to space group I-4 (No. 82); the cell edges are 6.753, 6.753 and 14.374 Å and the angles 90.00°, 90.00° and 90.00°. The inequivalent atoms are K at (0.000, 0.000, 0.000), Ac at (0.000, 0.500, 0.250), Cu at (0.000, 0.000, 0.500), Cu at (0.000, 0.500, 0.750), Cl at (0.128, 0.268, 0.425) and Cl at (0.154, 0.767, 0.813).

For the raw formation energy, the calculation gives -1.333 eV/atom. The crystal system is tetragonal. As for the density of states at the Fermi level: 16.987 states/eV per cell.